[1]
Sc2BeTl: relaxed, PBE.

a b c (Å): 5.608 5.608 5.608
angles (deg): 136.74 136.74 62.83
Fractional coordinates of all 4 atoms:
Sc  0.000  0.000  0.000
Sc  0.250  0.750  0.500
Be  0.750  0.250  0.500
Tl  0.500  0.500  0.000

Values from the calculation:
E above lowest polymorph (kJ/mol of formula units): 98
E (eV/cell): -18.32
Energy of formation (eV per atom): 0.109

***

[2]
Na6CdO4: relaxed, PBE.

a b c (Å): 5.549 7.729 7.729
angles (deg): 90.00 90.00 90.00
Fractional coordinates of all 22 atoms:
Na  0.500  0.715  0.285
Na  0.500  0.285  0.285
Na  0.066  0.000  0.500
Na  0.566  0.000  0.500
Na  0.500  0.285  0.715
Na  0.500  0.715  0.715
Na  0.000  0.785  0.785
Na  0.000  0.215  0.785
Na  0.934  0.500  0.000
Na  0.434  0.500  0.000
Na  0.000  0.785  0.215
Na  0.000  0.215  0.215
Cd  0.000  0.500  0.500
Cd  0.500  0.000  0.000
O  0.302  0.000  0.259
O  0.802  0.759  0.500
O  0.802  0.241  0.500
O  0.302  0.000  0.741
O  0.198  0.500  0.759
O  0.698  0.259  0.000
O  0.698  0.741  0.000
O  0.198  0.500  0.241

Values from the calculation:
Energy relative to the elements, uncorrected (meV per atom): -1221
E (eV/cell): -84.18

***

[3]
Pm3Th: relaxed, PBE.

a b c (Å): 5.127 5.127 5.127
angles (deg): 90.00 90.00 90.00
Fractional coordinates of all 4 atoms:
Th  0.000  0.000  0.000
Pm  0.000  0.500  0.500
Pm  0.500  0.000  0.500
Pm  0.500  0.500  0.000

Values from the calculation:
E above lowest polymorph (kJ/mol of formula units): 11
E (eV/cell): -21.44
Energy of formation (eV per atom): 0.057

***

[4]
Pu2CdNi: relaxed, PBE.

a b c (Å): 3.178 3.178 8.667
angles (deg): 90.00 90.00 90.00
Fractional coordinates of all 4 atoms:
Ni  0.500  0.500  0.000
Cd  0.500  0.500  0.500
Pu  0.000  0.000  0.794
Pu  0.000  0.000  0.206

Values from the calculation:
E above lowest polymorph (kJ/mol of formula units): 0
E (eV/cell): -35.52
Energy of formation (eV per atom): -0.040

***

[5]
Ce2SmDySb4: relaxed, PBE.

a b c (Å): 4.460 7.733 7.729
angles (deg): 70.56 90.00 90.00
Fractional coordinates of all 8 atoms:
Ce  0.000  0.000  0.000
Ce  0.500  0.000  0.500
Sm  0.500  0.500  0.000
Dy  0.000  0.500  0.500
Sb  0.000  0.748  0.748
Sb  0.000  0.252  0.252
Sb  0.500  0.746  0.254
Sb  0.500  0.254  0.746

Values from the calculation:
Energy relative to the elements, uncorrected (meV per atom): -1100
E (eV/cell): -46.48

***

[6]
DyPuPd2: relaxed, PBE.

a b c (Å): 3.477 3.477 7.187
angles (deg): 90.00 90.00 90.00
Fractional coordinates of all 4 atoms:
Dy  0.500  0.500  0.000
Pd  0.000  0.000  0.767
Pd  0.000  0.000  0.233
Pu  0.500  0.500  0.500

Values from the calculation:
E (eV/cell): -31.89
Energy of formation (eV per atom): -0.644